# PBE GePPtO, relaxed
# calculated total energy: -5.630 eV per atom
# ΔE to the lowest computed polymorph: 218 meV per atom
# M_tot: 0.00 μB/cell
data_GePPtO
_symmetry_space_group_name_H-M 'P m c 21'
_symmetry_Int_Tables_number 26
_cell_length_a 3.322
_cell_length_b 6.526
_cell_length_c 6.326
_cell_angle_alpha 90.00
_cell_angle_beta 90.00
_cell_angle_gamma 90.00
loop_
_symmetry_equiv_pos_as_xyz
'x,y,z'
'-x,-y,z+1/2'
'-x,y,z'
'x,-y,z+1/2'
loop_
_atom_site_label
_atom_site_type_symbol
_atom_site_fract_x
_atom_site_fract_y
_atom_site_fract_z
Ge1 Ge 0.000 0.181 0.000
P1 P 0.000 0.163 0.383
Pt1 Pt 0.500 0.273 0.581
O1 O 0.500 0.319 0.943